The following is a DFT calculation (PBE+U) of crystalline AcNbMoO6 at its relaxed geometry.

The space group is P4_2nm (No. 102) and the conventional cell measures 5.067, 5.067 and 10.113 Å, with angles of 90.00, 90.00 and 90.00 degrees. The distinct sites, in fractional coordinates, are Ac at (0.000, 0.000, 0.000), Nb at (0.000, 0.000, 0.337), Mo at (0.000, 0.000, 0.672), O at (0.168, 0.168, 0.501), O at (0.216, 0.216, 0.200) and O at (0.224, 0.224, 0.809).

The total energy comes out at -146.2 eV/cell.